1.
A geometry-optimized Zr4Sn2C structure, computed with PBE.

Geometry as CIF:
```
data_Zr4Sn2C
_chemical_formula_sum 'Zr8 Sn4 C2'
_cell_length_a 5.9004
_cell_length_b 6.2119
_cell_length_c 8.7069
_cell_angle_alpha 90.00
_cell_angle_beta 109.17
_cell_angle_gamma 90.00
_space_group_name_H-M_alt 'P 1 21/m 1'
_space_group_IT_number 11
_space_group_name_Hall '-P 2yb'
loop_
_atom_site_label
_atom_site_type_symbol
_atom_site_fract_x
_atom_site_fract_y
_atom_site_fract_z
Zr1 Zr 0.1929 0.2500 0.0423
Zr2 Zr 0.2592 0.7500 0.3433
Zr3 Zr 0.2657 0.5090 0.7008
Sn1 Sn 0.2455 0.2500 0.3956
Sn2 Sn 0.3334 0.7500 0.0253
C1 C 0.1106 0.2500 0.7887
```

Results
As for the energy above the most stable polymorph in this dataset: 1.23 eV per formula unit.


2.
A geometry-optimized Zr6Sn3C structure, computed with PBE.

Geometry as CIF:
```
data_Zr6Sn3C
_chemical_formula_sum 'Zr12 Sn6 C2'
_cell_length_a 5.9025
_cell_length_b 7.7054
_cell_length_c 11.1358
_cell_angle_alpha 90.00
_cell_angle_beta 119.84
_cell_angle_gamma 90.00
_space_group_name_H-M_alt 'P 1 21/c 1'
_space_group_IT_number 14
_space_group_name_Hall '-P 2ybc'
loop_
_atom_site_label
_atom_site_type_symbol
_atom_site_fract_x
_atom_site_fract_y
_atom_site_fract_z
Zr1 Zr 0.0853 0.0422 0.2219
Zr2 Zr 0.1683 0.7281 0.0550
Zr3 Zr 0.3909 0.1426 0.0446
Sn1 Sn 0.3268 0.1082 0.7328
Sn2 Sn 0.5000 0.0000 0.5000
C1 C 0.0000 0.0000 0.0000
```


3.
A geometry-optimized Zr3Sn2C structure, computed with PBE.

Geometry as CIF:
```
data_Zr3Sn2C
_chemical_formula_sum 'Zr12 Sn8 C4'
_cell_length_a 10.4039
_cell_length_b 8.2148
_cell_length_c 6.0088
_cell_angle_alpha 90.00
_cell_angle_beta 90.00
_cell_angle_gamma 90.00
_space_group_name_H-M_alt 'C m c m'
_space_group_IT_number 63
_space_group_name_Hall '-C 2c 2'
loop_
_atom_site_label
_atom_site_type_symbol
_atom_site_fract_x
_atom_site_fract_y
_atom_site_fract_z
Zr1 Zr 0.0000 0.1637 0.2500
Zr2 Zr 0.1526 0.5000 0.0000
Sn1 Sn 0.1407 0.1779 0.7500
C1 C 0.0000 0.4271 0.2500
```


4.
A geometry-optimized Zr4SnC structure, computed with PBE.

Geometry as CIF:
```
data_Zr4SnC
_chemical_formula_sum 'Zr8 Sn2 C2'
_cell_length_a 6.5215
_cell_length_b 6.3179
_cell_length_c 6.1197
_cell_angle_alpha 90.00
_cell_angle_beta 92.44
_cell_angle_gamma 90.00
_space_group_name_H-M_alt 'P 1 21/c 1'
_space_group_IT_number 14
_space_group_name_Hall '-P 2ybc'
loop_
_atom_site_label
_atom_site_type_symbol
_atom_site_fract_x
_atom_site_fract_y
_atom_site_fract_z
Zr1 Zr 0.0930 0.1633 0.1764
Zr2 Zr 0.3113 0.6138 0.0828
Sn1 Sn 0.5000 0.0000 0.0000
C1 C 0.0000 0.0000 0.5000
```

Results
As for the energy above the most stable polymorph in this dataset: 0.63 eV per formula unit.


5.
A geometry-optimized Zr6Sn2C structure, computed with PBE.

Geometry as CIF:
```
data_Zr6Sn2C
_chemical_formula_sum 'Zr12 Sn4 C2'
_cell_length_a 5.9901
_cell_length_b 7.1348
_cell_length_c 10.7557
_cell_angle_alpha 90.00
_cell_angle_beta 122.25
_cell_angle_gamma 90.00
_space_group_name_H-M_alt 'P 1 21/c 1'
_space_group_IT_number 14
_space_group_name_Hall '-P 2ybc'
loop_
_atom_site_label
_atom_site_type_symbol
_atom_site_fract_x
_atom_site_fract_y
_atom_site_fract_z
Zr1 Zr 0.1378 0.1698 0.4704
Zr2 Zr 0.3134 0.7082 0.4637
Zr3 Zr 0.3540 0.0146 0.2485
Sn1 Sn 0.1779 0.1022 0.7566
C1 C 0.5000 0.0000 0.5000
```

Results
As for the energy above the most stable polymorph in this dataset: 0.48 eV per formula unit.


6.
A geometry-optimized Sr2C structure, computed with PBE.

Geometry as CIF:
```
data_Sr2C
_chemical_formula_sum 'Sr8 C4'
_cell_length_a 3.4365
_cell_length_b 3.4365
_cell_length_c 28.9712
_cell_angle_alpha 90.00
_cell_angle_beta 90.00
_cell_angle_gamma 90.00
_space_group_name_H-M_alt 'I 41/a m d'
_space_group_IT_number 141
loop_
_space_group_symop_operation_xyz
'x,y,z'
'-x,-y,-z'
'-y+1/4,x+3/4,z+1/4'
'y+1/4,-x+3/4,-z+1/4'
'-x+1/2,-y,z+1/2'
'x+1/2,y,-z+1/2'
'y+1/4,-x+1/4,z+3/4'
'-y+1/4,x+1/4,-z+3/4'
'x,-y,-z'
'-x,y,z'
'-y+1/4,-x+1/4,-z+3/4'
'y+1/4,x+1/4,z+3/4'
'-x+1/2,y,-z+1/2'
'x+1/2,-y,z+1/2'
'y+1/4,x+3/4,-z+1/4'
'-y+1/4,-x+3/4,z+1/4'
'x+1/2,y+1/2,z+1/2'
'-x+1/2,-y+1/2,-z+1/2'
'-y+3/4,x+1/4,z+3/4'
'y+3/4,-x+1/4,-z+3/4'
'-x,-y+1/2,z'
'x,y+1/2,-z'
'y+3/4,-x+3/4,z+1/4'
'-y+3/4,x+3/4,-z+1/4'
'x+1/2,-y+1/2,-z+1/2'
'-x+1/2,y+1/2,z+1/2'
'-y+3/4,-x+3/4,-z+1/4'
'y+3/4,x+3/4,z+1/4'
'-x,y+1/2,-z'
'x,-y+1/2,z'
'y+3/4,x+1/4,-z+3/4'
'-y+3/4,-x+1/4,z+3/4'
loop_
_atom_site_label
_atom_site_type_symbol
_atom_site_fract_x
_atom_site_fract_y
_atom_site_fract_z
Sr1 Sr 0.0000 0.2500 0.3227
C1 C 0.0000 0.2500 0.8750
```

Results
As for the energy above the most stable polymorph in this dataset: 1.83 eV per formula unit.


7.
A geometry-optimized Sr5C structure, computed with PBE.

Geometry as CIF:
```
data_Sr5C
_chemical_formula_sum 'Sr5 C1'
_cell_length_a 9.0853
_cell_length_b 9.0853
_cell_length_c 3.8791
_cell_angle_alpha 90.00
_cell_angle_beta 90.00
_cell_angle_gamma 120.00
_space_group_name_H-M_alt 'P -6 2 m'
_space_group_IT_number 189
_space_group_name_Hall 'P -6 -2'
loop_
_atom_site_label
_atom_site_type_symbol
_atom_site_fract_x
_atom_site_fract_y
_atom_site_fract_z
Sr1 Sr 0.0000 0.7878 0.0000
Sr2 Sr 0.3333 0.6667 0.5000
C1 C 0.0000 0.0000 0.5000
```

Results
As for the energy above the most stable polymorph in this dataset: 0.82 eV per formula unit.


8.
A geometry-optimized Sr3C2 structure, computed with PBE.

Geometry as CIF:
```
data_Sr3C2
_chemical_formula_sum 'Sr3 C2'
_cell_length_a 4.0487
_cell_length_b 4.0487
_cell_length_c 10.1036
_cell_angle_alpha 90.00
_cell_angle_beta 90.00
_cell_angle_gamma 120.00
_space_group_name_H-M_alt 'P -3 m 1'
_space_group_IT_number 164
_space_group_name_Hall '-P 3 2"'
loop_
_atom_site_label
_atom_site_type_symbol
_atom_site_fract_x
_atom_site_fract_y
_atom_site_fract_z
Sr1 Sr 0.0000 0.0000 0.0000
Sr2 Sr 0.3333 0.6667 0.3050
C1 C 0.3333 0.6667 0.8173
```

Results
As for the energy above the most stable polymorph in this dataset: 0.00 eV per formula unit.


9.
A geometry-optimized Sr2C structure, computed with PBE.

Geometry as CIF:
```
data_Sr2C
_chemical_formula_sum 'Sr8 C4'
_cell_length_a 3.9616
_cell_length_b 19.4545
_cell_length_c 5.4721
_cell_angle_alpha 90.00
_cell_angle_beta 90.00
_cell_angle_gamma 90.00
_space_group_name_H-M_alt 'C m c m'
_space_group_IT_number 63
_space_group_name_Hall '-C 2c 2'
loop_
_atom_site_label
_atom_site_type_symbol
_atom_site_fract_x
_atom_site_fract_y
_atom_site_fract_z
Sr1 Sr 0.0000 0.0939 0.2500
Sr2 Sr 0.0000 0.2854 0.2500
C1 C 0.0000 0.3194 0.7500
```

Results
As for the energy above the most stable polymorph in this dataset: 1.37 eV per formula unit.


10.
A geometry-optimized Sr7C structure, computed with PBE.

Geometry as CIF:
```
data_Sr7C
_chemical_formula_sum 'Sr28 C4'
_cell_length_a 11.4709
_cell_length_b 11.4709
_cell_length_c 11.4709
_cell_angle_alpha 90.00
_cell_angle_beta 90.00
_cell_angle_gamma 90.00
_space_group_name_H-M_alt 'F m -3 m'
_space_group_IT_number 225
_space_group_name_Hall '-F 4 2 3'
loop_
_atom_site_label
_atom_site_type_symbol
_atom_site_fract_x
_atom_site_fract_y
_atom_site_fract_z
Sr1 Sr 0.0000 0.0000 0.0000
Sr2 Sr 0.0000 0.2500 0.2500
C1 C 0.0000 0.0000 0.5000
```


11.
A geometry-optimized SrC2 structure, computed with PBE.

Geometry as CIF:
```
data_SrC2
_chemical_formula_sum 'Sr1 C2'
_cell_length_a 2.8360
_cell_length_b 2.8360
_cell_length_c 4.6377
_cell_angle_alpha 90.00
_cell_angle_beta 90.00
_cell_angle_gamma 90.00
_space_group_name_H-M_alt 'P 4/m m m'
_space_group_IT_number 123
_space_group_name_Hall '-P 4 2'
loop_
_atom_site_label
_atom_site_type_symbol
_atom_site_fract_x
_atom_site_fract_y
_atom_site_fract_z
Sr1 Sr 0.0000 0.0000 0.0000
C1 C 0.0000 0.5000 0.5000
```


12.
A geometry-optimized Sr2C structure, computed with PBE.

Geometry as CIF:
```
data_Sr2C
_chemical_formula_sum 'Sr8 C4'
_cell_length_a 3.4147
_cell_length_b 20.5281
_cell_length_c 4.8967
_cell_angle_alpha 90.00
_cell_angle_beta 90.00
_cell_angle_gamma 90.00
_space_group_name_H-M_alt 'C m c m'
_space_group_IT_number 63
_space_group_name_Hall '-C 2c 2'
loop_
_atom_site_label
_atom_site_type_symbol
_atom_site_fract_x
_atom_site_fract_y
_atom_site_fract_z
Sr1 Sr 0.0000 0.0469 0.2500
Sr2 Sr 0.0000 0.1673 0.7500
C1 C 0.0000 0.4280 0.2500
```

Results
As for the energy above the most stable polymorph in this dataset: 1.77 eV per formula unit.


Magnetic moment / μB per formula unit: 0.00 0.00 0.00 0.00 0.00 0.00 0.00 2.11 0.44 1.85 0.00 0.00
E_form / eV/atom: -0.374 -0.425 -0.390 -0.241 -0.418 0.736 0.459 0.818 0.580 0.759 2.269 0.716
Electronic total energy / eV/f.u.: -54.04 -76.77 -45.22 -48.86 -72.28 -10.38 -14.88 -19.40 -10.85 -14.93 -13.32 -10.44